Record 1
# CsNpAuSe3

Crystalline CsNpAuSe3 at its relaxed geometry (PBE, Alexandria via LeMat-Bulk).

Cell lengths 4.240, 9.450, 10.336 Å; angles 112.36, 90.00, 90.00 degrees
Last column: magnetic moment on the atom in μB.
Fractional positions:
Se1 0.250 0.530 0.858  -0.13
Se2 0.250 0.128 0.867  -0.10
Se3 0.750 0.470 0.142  -0.13
Se4 0.750 0.236 0.555  -0.11
Se5 0.250 0.764 0.445  -0.11
Se6 0.750 0.872 0.133  -0.10
Cs1 0.250 0.220 0.258  -0.01
Cs2 0.750 0.780 0.742  -0.01
Np1 0.750 0.319 0.844  3.43
Np2 0.250 0.681 0.156  3.43
Au1 0.750 0.918 0.400  -0.06
Au2 0.250 0.082 0.600  -0.06

Properties
- symmetry = P2_1/m (11)
- formation energy (no corrections) (eV per atom) = -0.94



Record 2
# NaSn2Pb4

Crystalline NaSn2Pb4 at its relaxed geometry (PBE, Alexandria via LeMat-Bulk).

Cell lengths 3.458, 5.673, 11.144 Å; angles 104.74, 90.00, 90.00 degrees
Fractional positions:
Sn1 0.500 0.071 0.141
Sn2 0.500 0.929 0.859
Pb1 0.500 0.647 0.294
Pb2 0.500 0.353 0.706
Pb3 0.000 0.206 0.413
Pb4 0.000 0.794 0.587
Na1 0.000 0.500 0.000

Properties
- symmetry = Cmmm (65)
- polymorph energy (0 for the lowest one) (meV per atom) = 0
- energy of formation (meV/atom) = -16.2



Record 3
# RbCe2O4

Crystalline RbCe2O4 at its relaxed geometry (PBE, Alexandria via LeMat-Bulk).

Cell lengths 3.591, 6.172, 11.786 Å; angles 90.00, 90.00, 106.91 degrees
Last column: magnetic moment on the atom in μB.
Fractional positions:
O1 0.752 0.505 0.408  -0.02
O2 0.500 0.000 0.000  -0.02
O3 0.752 0.505 0.092  -0.02
O4 0.248 0.495 0.592  -0.02
O5 0.078 0.156 0.250  -0.02
O6 0.248 0.495 0.908  -0.02
O7 0.500 0.000 0.500  -0.02
O8 0.922 0.844 0.750  -0.02
Rb1 0.389 0.777 0.250  0.00
Rb2 0.611 0.223 0.750  0.00
Ce1 0.866 0.733 0.572  0.51
Ce2 0.134 0.267 0.072  0.51
Ce3 0.866 0.733 0.928  0.51
Ce4 0.134 0.267 0.428  0.51

Properties
- symmetry = Cmcm (63)
- formation energy (no corrections) (eV per atom) = -2.93